VASP calculation (PBE) on crystalline Rb2YGeO4 at its relaxed geometry.

```
Rb2YGeO4
1.0
-3.0561 3.0561 4.5538
3.0561 -3.0561 4.5538
3.0561 3.0561 -4.5538
Rb Y Ge O
2 1 1 4
direct
0.0000 0.0000 0.0000 Rb
0.7500 0.2500 0.5000 Rb
0.5000 0.5000 0.0000 Y
0.2500 0.7500 0.5000 Ge
0.2564 0.0923 0.6198 O
0.3634 0.7436 0.8359 O
0.4725 0.6366 0.3802 O
0.9077 0.5275 0.1641 O
```

Values from the calculation:
- E_tot (eV/atom) = -6.0590
- formation energy from raw total energies (eV/f.u.) = -15.62
- symmetry = I-4